VASP calculation (GGA-PBEsol) on a geometry-optimized Ni4MoIr structure.

Cell: 4.6081 4.6081 4.6081 Å, 60.00 60.00 60.00°
With the nearest neighbours (Å) after each atom.
Sites, in units of the cell vectors:
Ni: 0.1251 0.1251 0.1251  6 Ni 2.30-2.31
Ni: 0.1251 0.1251 0.6248  6 Ni 2.30-2.31
Ni: 0.1251 0.6248 0.1251  6 Ni 2.30-2.31
Ni: 0.6248 0.1251 0.1251  6 Ni 2.30-2.31
Mo: 0.5000 0.5000 0.5000  12 Ni 2.70, 4 Ir 2.82
Ir: 0.7500 0.7500 0.7500  12 Ni 2.70, 4 Mo 2.82

The calculation puts the total magnetization at 0.01 μB per formula unit. The calculation puts the total energy at -0.287 Ha/atom. The space group is No. 216. The calculation puts the formation energy at -0.095 eV per atom. Its crystal system is cubic.